ScAg2P2O6 | Alexandria via LeMat-Bulk | PBE | relaxed; V = 14.37 Å³ per atom; DOS(E_F) = 2.79 states/eV per cell; formation energy (no corrections) = -1865 meV per atom; DFT total energy = -73.122 eV per formula unit; total moment = 0.00 μB/f.u.
1.0
5.0690 0.0000 0.0000
-2.5345 4.3899 0.0000
0.0000 0.0000 7.1021
Sc Ag P O
1 2 2 6
Direct
0.0000 0.0000 0.0000
0.3333 0.6667 0.4193
0.6667 0.3333 0.5807
0.3333 0.6667 0.7550
0.6667 0.3333 0.2450
0.3037 0.3615 0.8225
0.0578 0.6963 0.8225
0.6385 0.9422 0.8225
0.6963 0.6385 0.1775
0.9422 0.3037 0.1775
0.3615 0.0578 0.1775


YMgTl | Alexandria via LeMat-Bulk | PBE | relaxed; V = 27.97 Å³ per atom; DOS(E_F) = 3.18 states/eV per cell; E_form = -0.1 eV per formula unit; DFT total energy = -10.546 eV per formula unit; total moment = 0.00 μB/f.u.
1.0
-0.6306 -0.9094 3.3577
-0.3257 -2.4025 -2.5731
7.4517 -1.9451 0.8728
Mg Tl Y
1 1 1
Direct
0.0000 0.0000 0.0140
0.6667 0.3333 0.3237
0.3333 0.6667 0.6624


Ba5Li2Ag | Alexandria via LeMat-Bulk | PBE | relaxed; V = 45.89 Å³ per atom; DOS(E_F) = 20.55 states/eV per cell; E_form = -0.1 eV per formula unit; DFT total energy = -16.364 eV per formula unit; total moment = 0.00 μB/f.u.
1.0
-3.7520 2.2746 -0.8098
2.1051 -3.1611 -6.3415
-12.6137 -18.9367 5.2523
Ba Li Ag
10 4 2
Direct
0.9038 0.8077 0.8848
0.9038 0.8077 0.6152
0.3613 0.7227 0.4502
0.3613 0.7227 0.0498
0.4748 0.9495 0.2500
0.5252 0.0505 0.7500
0.6387 0.2773 0.5498
0.6387 0.2773 0.9502
0.0962 0.1923 0.1152
0.0962 0.1923 0.3848
0.7761 0.5522 0.3144
0.7761 0.5522 0.1856
0.2239 0.4478 0.6856
0.2239 0.4478 0.8144
0.8017 0.6033 0.7500
0.1983 0.3967 0.2500


Tl4In5Pb4 | Alexandria via LeMat-Bulk | PBE | relaxed; V = 29.74 Å³ per atom; DOS(E_F) = 5.71 states/eV per cell; E_form = 0.2 eV per formula unit; DFT total energy = -37.799 eV per formula unit; total moment = 0.00 μB/f.u.
1.0
-2.1002 4.5269 0.4994
-7.7583 -1.3316 4.6263
3.2583 3.4283 7.8101
Tl In Pb
4 5 4
Direct
0.7725 0.3801 0.0750
0.2275 0.6199 0.9250
0.8475 0.9250 0.3801
0.1525 0.0750 0.6199
0.6875 0.8515 0.7735
0.3125 0.1485 0.2265
0.0000 0.0000 0.0000
0.5390 0.7735 0.1485
0.4610 0.2265 0.8515
0.9202 0.4662 0.6935
0.6136 0.3065 0.4662
0.0798 0.5338 0.3065
0.3864 0.6935 0.5338


Rb2TaTlI6 | Alexandria via LeMat-Bulk | PBE | relaxed; V = 47.21 Å³ per atom; DOS(E_F) = 10.91 states/eV per cell; formation energy (no corrections) = -756 meV per atom; DFT total energy = -33.016 eV per formula unit; total moment = 2.00 μB/f.u.
1.0
8.7402 0.0000 0.0000
0.0000 8.7402 0.0000
4.3701 4.3701 6.1805
I Tl Rb Ta
6 1 2 1
Direct
0.2703 0.2703 0.4594
0.7297 0.7297 0.5406
0.2703 0.2703 0.0000
0.7297 0.7297 0.0000
0.7297 0.2703 0.0000
0.2703 0.7297 0.0000
0.0000 0.0000 0.0000
0.7500 0.2500 0.5000
0.2500 0.7500 0.5000
0.5000 0.5000 0.0000


LiZr4Br | Alexandria via LeMat-Bulk | PBE | relaxed; V = 24.50 Å³ per atom; DOS(E_F) = 9.05 states/eV per cell; formation energy (no corrections) = 567 meV per atom; DFT total energy = -34.375 eV per formula unit; total moment = 0.00 μB/f.u.
1.0
1.2398 -2.9938 4.9595
3.5056 2.4153 4.1200
-2.2875 1.7612 5.1733
Li Zr Br
1 4 1
Direct
0.0000 0.0000 0.0000
0.8851 0.3716 0.3716
0.3716 0.3716 0.8851
0.3716 0.8851 0.3716
0.3716 0.3716 0.3716
0.7500 0.7500 0.7500